A plane-wave DFT calculation with PBE was carried out for crystalline Rh2SeO at its relaxed geometry.

Cell lengths 4.1909, 4.1909, 4.1909 Å; angles 60.00, 60.00, 60.00 degrees
Element x y z (fractional)
O (0.0000, 0.0000, 0.0000)
Rh (0.2500, 0.2500, 0.2500)
Rh (0.7500, 0.7500, 0.7500)
Se (0.5000, 0.5000, 0.5000)

The formation energy from raw total energies comes out at 0.08 eV per atom. For the excess energy over the best structure of this formula in the dataset, the calculation gives 225 meV per atom. Its symmetry is Fm-3m. Its crystal system is cubic.

---

A plane-wave DFT calculation with PBE was carried out for crystalline RhSe3O at its relaxed geometry.

Cell lengths 4.8324, 4.8324, 4.8324 Å; angles 90.00, 90.00, 90.00 degrees
Element x y z (fractional)
Rh (0.0000, 0.0000, 0.0000)
Se (0.0000, 0.5000, 0.0000)
Se (0.0000, 0.0000, 0.5000)
Se (0.5000, 0.0000, 0.0000)
O (0.5000, 0.5000, 0.5000)

The formation energy from raw total energies comes out at 0.97 eV per atom. For the excess energy over the best structure of this formula in the dataset, the calculation gives 286 meV per atom. Its symmetry is Pm-3m. Its crystal system is cubic.

---

A plane-wave DFT calculation with PBE was carried out for crystalline Rh3SeO at its relaxed geometry.

Cell lengths 4.1816, 4.1816, 4.1816 Å; angles 90.00, 90.00, 90.00 degrees
Element x y z (fractional)
O (0.0000, 0.0000, 0.0000)
Se (0.5000, 0.5000, 0.5000)
Rh (0.0000, 0.5000, 0.0000)
Rh (0.0000, 0.0000, 0.5000)
Rh (0.5000, 0.0000, 0.0000)

The formation energy from raw total energies comes out at 0.32 eV per atom. For the excess energy over the best structure of this formula in the dataset, the calculation gives 0 meV per atom. Its symmetry is Pm-3m. Its crystal system is cubic.

---

A plane-wave DFT calculation with PBE was carried out for crystalline RhSeO3 at its relaxed geometry.

Cell lengths 3.8800, 3.8800, 3.8800 Å; angles 90.00, 90.00, 90.00 degrees
Element x y z (fractional)
O (0.0000, 0.5000, 0.0000)
O (0.0000, 0.0000, 0.5000)
O (0.5000, 0.0000, 0.0000)
Rh (0.5000, 0.5000, 0.5000)
Se (0.0000, 0.0000, 0.0000)

The formation energy from raw total energies comes out at 0.32 eV per atom. Its symmetry is Pm-3m. Its crystal system is cubic.

---

A plane-wave DFT calculation with PBE was carried out for crystalline RhSe3O at its relaxed geometry.

Cell lengths 4.4158, 4.4158, 4.4158 Å; angles 90.00, 90.00, 90.00 degrees
Element x y z (fractional)
Se (0.0000, 0.5000, 0.0000)
Se (0.0000, 0.0000, 0.5000)
Se (0.5000, 0.0000, 0.0000)
Rh (0.5000, 0.5000, 0.5000)
O (0.0000, 0.0000, 0.0000)

The formation energy from raw total energies comes out at 0.68 eV per atom. For the excess energy over the best structure of this formula in the dataset, the calculation gives 0 meV per atom. Its symmetry is Pm-3m. Its crystal system is cubic.

---

A plane-wave DFT calculation with PBE was carried out for crystalline Rh3SeO at its relaxed geometry.

Cell lengths 4.5782, 4.5782, 4.5782 Å; angles 90.00, 90.00, 90.00 degrees
Element x y z (fractional)
O (0.5000, 0.5000, 0.5000)
Se (0.0000, 0.0000, 0.0000)
Rh (0.0000, 0.0000, 0.5000)
Rh (0.5000, 0.0000, 0.0000)
Rh (0.0000, 0.5000, 0.0000)

The formation energy from raw total energies comes out at 1.13 eV per atom. For the excess energy over the best structure of this formula in the dataset, the calculation gives 808 meV per atom. Its symmetry is Pm-3m. Its crystal system is cubic.

---

A plane-wave DFT calculation with PBE was carried out for crystalline Rh2SeO6 at its relaxed geometry.

Cell lengths 4.6038, 4.6038, 9.4194 Å; angles 90.00, 90.00, 90.00 degrees
Element x y z (fractional)
O (0.1927, 0.8073, 0.0000)
O (0.1938, 0.8062, 0.6668)
O (0.6938, 0.6938, 0.8332)
O (0.8073, 0.1927, 0.0000)
O (0.8062, 0.1938, 0.3332)
O (0.8062, 0.1938, 0.6668)
O (0.6938, 0.6938, 0.1668)
O (0.3062, 0.3062, 0.1668)
O (0.3062, 0.3062, 0.8332)
O (0.1938, 0.8062, 0.3332)
O (0.3073, 0.3073, 0.5000)
O (0.6927, 0.6927, 0.5000)
Se (0.0000, 0.0000, 0.5000)
Se (0.5000, 0.5000, 0.0000)
Rh (0.0000, 0.0000, 0.8331)
Rh (0.5000, 0.5000, 0.3331)
Rh (0.5000, 0.5000, 0.6669)
Rh (0.0000, 0.0000, 0.1669)

The formation energy from raw total energies comes out at -0.61 eV per atom. Its symmetry is P4_2/mnm. Its crystal system is tetragonal.

---

A plane-wave DFT calculation with PBE was carried out for crystalline Tl2RhSe2O6 at its relaxed geometry.

Cell lengths 5.4562, 6.6640, 7.9671 Å; angles 123.49, 90.00, 114.17 degrees
Element x y z (fractional)
Se (0.0739, 0.1479, 0.8178)
Se (0.9261, 0.8521, 0.1822)
O (0.6348, 0.7639, 0.2755)
O (0.8709, 0.2361, 0.7245)
O (0.1291, 0.7639, 0.2755)
O (0.1011, 0.2022, 0.3203)
O (0.3652, 0.2361, 0.7245)
O (0.8989, 0.7978, 0.6797)
Tl (0.6805, 0.3609, 0.2882)
Tl (0.3195, 0.6391, 0.7118)
Rh (0.5000, 0.0000, 0.5000)

The formation energy from raw total energies comes out at -0.69 eV per atom. Its symmetry is C2/m. Its crystal system is monoclinic.